A geometry-optimized CaCr3F6 structure, computed with GGA+U.

Cell lengths 3.7017, 6.7590, 7.0809 Å; angles 110.16, 102.37, 90.09 degrees
Space group P-1 (No. 2)
Unique sites:
Ca (0.0000, 0.0000, 0.0000) [1 per cell]
Cr (0.0000, 0.0000, 0.5000) [1 per cell]
Cr (0.0000, 0.5000, 0.5000) [1 per cell]
Cr (0.5000, 0.5000, 0.0000) [1 per cell]
F (0.0860, 0.7822, 0.2464) [2 per cell]
F (0.1404, 0.2001, 0.3699) [2 per cell]
F (0.4726, 0.7788, 0.9391) [2 per cell]

Computed properties:
E_tot ... -5.986 eV per atom
Total magnetization ... 13.7 μB per formula unit